First-principles (PBE) data for a geometry-optimized LaWCl2 structure, as listed in the Alexandria database.

a b c (Å): 3.374 4.653 5.758
angles (deg): 90.00 90.10 90.00
Atoms (fractional coordinates):
La: 0.000 0.000 0.000
W: 0.501 0.500 0.295
Cl: 0.002 0.500 0.629
Cl: 0.501 0.000 0.410

**Polymorph energy (0 for the lowest one)**: 76 meV per atom
**Total magnetic moment**: 0.00 μB/cell
**E_form (uncorrected)**: -0.28 eV/atom
**Density of states at the Fermi level**: 2.5 states/eV per cell
**Electronic total energy**: -5.676 eV per atom